No. 1
A plane-wave DFT calculation with PBE was carried out for crystalline Er5AlIn3 at its relaxed geometry.

abc: 9.1497 9.1497 6.5378
angles: 90.00 90.00 120.00
Space group P6_3/mcm (No. 193)
Unique sites:
Er 0.0000 0.2790 0.2500
Er 0.3333 0.6667 0.0000
Al 0.0000 0.0000 0.0000
In 0.0000 0.3757 0.7500

- Fermi-level density of states: 6.60 states/eV/f.u.

***

No. 2
A plane-wave DFT calculation with PBE was carried out for crystalline CaLaSc2 at its relaxed geometry.

abc: 3.987 5.531 5.592
angles: 90.00 90.00 90.00
Space group Pmmm (No. 47)
Unique sites:
Ca 0.000 0.000 0.000
La 0.500 0.000 0.500
Sc 0.000 0.500 0.500
Sc 0.500 0.500 0.000

- Fermi-level density of states: 7.82 states/eV/f.u.
- Polymorph energy (0 for the lowest one): 109 meV per atom

***

Calculated uncorrected energy, -4.269; -4.678 eV per atom (same order as the records).